No. 1
Material: NaAl3P2H4O12
Method: DFT, PBE-GGA
State: optimized geometry

Output
DFT total energy = -6.603 eV/atom
SG = No. 14
magnetic moment = 0.00 μB per cell

Lattice parameters (Å, degrees): 7.168 10.249 11.352 90.00 97.81 90.00
Positions (direct):
P 0.769 0.311 0.822
P 0.231 0.689 0.178
P 0.269 0.189 0.322
P 0.249 0.832 0.809
P 0.251 0.332 0.691
P 0.731 0.811 0.678
P 0.749 0.668 0.309
P 0.751 0.168 0.191
Al 0.571 0.258 0.543
Al 0.929 0.758 0.957
Al 0.429 0.742 0.457
Al 0.059 0.718 0.543
Al 0.559 0.782 0.043
Al 0.941 0.282 0.457
Al 0.490 0.069 0.735
Al 0.071 0.242 0.043
Al 0.441 0.218 0.957
Al 0.510 0.931 0.265
Al 0.010 0.569 0.765
Al 0.990 0.431 0.235
O 0.437 0.265 0.387
O 0.572 0.216 0.113
O 0.435 0.111 0.578
O 0.449 0.922 0.105
O 0.714 0.049 0.269
O 0.563 0.735 0.613
O 0.323 0.218 0.778
O 0.721 0.654 0.000
O 0.185 0.277 0.214
O 0.323 0.054 0.278
O 0.677 0.946 0.722
O 0.597 0.625 0.387
O 0.949 0.578 0.605
O 0.903 0.125 0.113
O 0.734 0.390 0.504
O 0.072 0.284 0.613
O 0.815 0.723 0.786
O 0.882 0.839 0.594
O 0.618 0.339 0.906
O 0.063 0.765 0.113
O 0.315 0.777 0.286
O 0.677 0.782 0.222
O 0.279 0.346 0.000
O 0.779 0.154 0.500
O 0.935 0.389 0.078
O 0.214 0.451 0.769
O 0.403 0.375 0.613
O 0.823 0.446 0.778
O 0.937 0.235 0.887
O 0.565 0.889 0.422
O 0.051 0.422 0.395
O 0.428 0.784 0.887
O 0.234 0.110 0.004
O 0.065 0.611 0.922
O 0.928 0.716 0.387
O 0.786 0.549 0.231
O 0.286 0.951 0.731
O 0.766 0.890 0.996
O 0.177 0.554 0.222
O 0.221 0.846 0.500
O 0.097 0.875 0.887
O 0.685 0.223 0.714
O 0.177 0.718 0.722
O 0.266 0.610 0.496
O 0.118 0.161 0.406
O 0.823 0.282 0.278
O 0.382 0.661 0.094
O 0.551 0.078 0.895
H 0.192 0.605 0.967
H 0.828 0.958 0.048
H 0.637 0.009 0.932
H 0.238 0.401 0.930
H 0.738 0.099 0.430
H 0.308 0.105 0.533
H 0.692 0.895 0.467
H 0.262 0.901 0.570
H 0.363 0.991 0.068
H 0.863 0.509 0.568
H 0.137 0.491 0.432
H 0.808 0.395 0.033
H 0.172 0.042 0.952
H 0.672 0.458 0.452
H 0.328 0.542 0.548
H 0.762 0.599 0.070
Na 0.958 0.076 0.694
Na 0.542 0.576 0.806
Na 0.458 0.424 0.194
Na 0.042 0.924 0.306

No. 2
Material: Na4Br3Cl
Method: DFT, PBE-GGA
State: optimized geometry

Output
E_form (uncorrected) = -1.61 eV/atom
SG = No. 221
energy relative to the lowest polymorph listed for this composition = 4 meV/atom
magnetic moment = 0.00 μB per cell

Lattice parameters (Å, degrees): 5.951 5.951 5.951 90.00 90.00 90.00
Positions (direct):
Na 0.500 0.500 0.500
Na 0.000 0.000 0.500
Na 0.000 0.500 0.000
Na 0.500 0.000 0.000
Cl 0.000 0.000 0.000
Br 0.500 0.500 0.000
Br 0.000 0.500 0.500
Br 0.500 0.000 0.500

No. 3
Material: TiPbN2O
Method: DFT, PBE-GGA
State: optimized geometry

Output
E_form (uncorrected) = 1.10 eV/atom
SG = No. 123
magnetic moment = 0.11 μB per cell

Lattice parameters (Å, degrees): 4.207 4.207 4.141 90.00 90.00 90.00
Positions (direct):
O 0.000 0.000 0.500
N 0.000 0.500 0.000
N 0.500 0.000 0.000
Pb 0.000 0.000 0.000
Ti 0.500 0.500 0.500

No. 4
Material: PmMgSc6
Method: DFT, PBE-GGA
State: optimized geometry

Output
ΔH_f (0 K) = 0.504 eV/atom
SG = No. 166
magnetic moment = 0.00 μB per cell

Lattice parameters (Å, degrees): 7.808 7.808 6.159 50.67 50.67 60.00
Positions (direct):
Sc 0.852 0.480 0.816
Sc 0.852 0.852 0.816
Sc 0.520 0.148 0.184
Sc 0.148 0.520 0.184
Sc 0.148 0.148 0.184
Sc 0.480 0.852 0.816
Pm 0.500 0.500 0.500
Mg 0.000 0.000 0.000

No. 5
Material: NdMgGa6
Method: DFT, PBE-GGA
State: optimized geometry

Output
ΔH_f (0 K) = -0.257 eV/atom
SG = No. 25
magnetic moment = 0.00 μB per cell

Lattice parameters (Å, degrees): 4.411 5.566 6.559 90.00 90.00 90.00
Positions (direct):
Ga 0.500 0.229 0.000
Ga 0.000 0.169 0.267
Ga 0.000 0.169 0.733
Ga 0.500 0.857 0.713
Ga 0.500 0.857 0.287
Ga 0.000 0.695 0.500
Nd 0.000 0.655 0.000
Mg 0.500 0.368 0.500

No. 6
Material: LiPr2NiIr2
Method: DFT, PBE-GGA
State: optimized geometry

Output
ΔH_f (0 K) = -0.372 eV/atom
SG = No. 72
magnetic moment = 0.00 μB per cell

Lattice parameters (Å, degrees): 5.831 5.755 8.212 110.51 110.79 90.00
Positions (direct):
Pr 0.411 0.167 0.333
Pr 0.922 0.667 0.333
Pr 0.589 0.833 0.667
Pr 0.078 0.333 0.667
Li 0.000 0.250 0.000
Li 0.000 0.750 0.000
Ir 0.146 0.885 0.769
Ir 0.623 0.385 0.769
Ir 0.377 0.615 0.231
Ir 0.854 0.115 0.231
Ni 0.500 0.750 0.000
Ni 0.500 0.250 0.000

No. 7
Material: CaNiGe
Method: DFT, PBE-GGA
State: optimized geometry

Output
ΔH_f (0 K) = -0.502 eV/atom
SG = No. 44
magnetic moment = 0.00 μB per cell

Lattice parameters (Å, degrees): 4.226 7.265 7.257 90.00 90.00 90.00
Positions (direct):
Ni 0.500 0.201 0.970
Ni 0.000 0.299 0.470
Ni 0.500 0.799 0.970
Ni 0.000 0.701 0.470
Ge 0.500 0.304 0.641
Ge 0.500 0.696 0.641
Ge 0.000 0.196 0.141
Ge 0.000 0.804 0.141
Ca 0.500 0.500 0.262
Ca 0.000 0.500 0.854
Ca 0.500 0.000 0.354
Ca 0.000 0.000 0.762

No. 8
Material: LiGe3
Method: DFT, PBE-GGA
State: optimized geometry

Output
ΔH_f (0 K) = -0.015 eV/atom
SG = No. 99
energy relative to the lowest polymorph listed for this composition = 0 meV/atom
magnetic moment = 0.00 μB per cell

Lattice parameters (Å, degrees): 4.040 4.040 4.511 90.00 90.00 90.00
Positions (direct):
Ge 0.500 0.500 0.070
Ge 0.000 0.500 0.650
Ge 0.000 0.000 0.070
Li 0.500 0.000 0.543

No. 9
Material: ScHg2Ru
Method: DFT, PBE-GGA
State: optimized geometry

Output
ΔH_f (0 K) = 0.049 eV/atom
SG = No. 65
energy relative to the lowest polymorph listed for this composition = 177 meV/atom
magnetic moment = 0.00 μB per cell

Lattice parameters (Å, degrees): 4.877 4.877 3.372 90.02 90.02 108.25
Positions (direct):
Hg 0.500 0.500 0.000
Hg 0.000 0.000 0.000
Ru 0.500 0.000 0.500
Sc 0.000 0.500 0.500

No. 10
Material: Rb2BaSrCl
Method: DFT, PBE-GGA
State: optimized geometry

Output
E_form (uncorrected) = -0.60 eV/atom
SG = No. 123
magnetic moment = 0.01 μB per cell

Lattice parameters (Å, degrees): 6.786 6.394 6.786 90.00 90.00 90.00
Positions (direct):
Sr 0.500 0.500 0.500
Cl 0.000 0.000 0.000
Rb 0.500 0.000 0.000
Rb 0.000 0.000 0.500
Ba 0.000 0.500 0.000

No. 11
Material: La5Nd2Y5
Method: DFT, PBE-GGA
State: optimized geometry

Output
ΔH_f (0 K) = 0.056 eV/atom
SG = No. 12
magnetic moment = 0.00 μB per cell

Lattice parameters (Å, degrees): 5.824 9.193 9.180 101.61 71.51 71.53
Positions (direct):
Y 0.668 0.956 0.708
Y 0.330 0.294 0.045
Y 0.000 0.500 0.500
Y 0.332 0.044 0.292
Y 0.670 0.706 0.955
Nd 0.335 0.543 0.787
Nd 0.665 0.457 0.213
La 0.998 0.250 0.754
La 0.002 0.750 0.246
La 0.000 0.000 0.000
La 0.337 0.784 0.542
La 0.663 0.216 0.458

No. 12
Material: SrV2Pt2
Method: DFT, PBE-GGA
State: optimized geometry

Output
ΔH_f (0 K) = -0.167 eV/atom
SG = No. 139
energy relative to the lowest polymorph listed for this composition = 161 meV/atom
magnetic moment = 0.00 μB per cell

Lattice parameters (Å, degrees): 4.682 4.682 5.587 65.23 65.23 90.00
Positions (direct):
Pt 0.750 0.250 0.500
Pt 0.250 0.750 0.500
V 0.368 0.368 0.264
V 0.632 0.632 0.736
Sr 0.000 0.000 0.000